<i>
SrPm2Ga6: relaxed, PBE.

Structure (CIF):
```
data_SrPm2Ga6
_space_group_name_H-M_alt 'P 1'
_space_group_IT_number 1
_cell_length_a 4.3879
_cell_length_b 7.4485
_cell_length_c 7.4485
_cell_angle_alpha 120.00
_cell_angle_beta 90.00
_cell_angle_gamma 90.00
loop_
_space_group_symop_operation_xyz
'x,y,z'
loop_
_atom_site_label
_atom_site_fract_x
_atom_site_fract_y
_atom_site_fract_z
Sr1 0.0000 0.0000 0.0000
Pm1 0.0000 0.3333 0.6667
Pm2 0.0000 0.6667 0.3333
Ga1 0.5000 0.3365 0.3365
Ga2 0.5000 0.6635 0.6635
Ga3 0.5000 0.0000 0.6635
Ga4 0.5000 0.6635 0.0000
Ga5 0.5000 0.3365 0.0000
Ga6 0.5000 0.0000 0.3365
```

***

<ii>
SrPm2Ga6: relaxed, PBE.

Structure (CIF):
```
data_SrPm2Ga6
_space_group_name_H-M_alt 'P 1'
_space_group_IT_number 1
_cell_length_a 4.5495
_cell_length_b 7.9066
_cell_length_c 7.9066
_cell_angle_alpha 55.88
_cell_angle_beta 73.28
_cell_angle_gamma 73.28
loop_
_space_group_symop_operation_xyz
'x,y,z'
loop_
_atom_site_label
_atom_site_fract_x
_atom_site_fract_y
_atom_site_fract_z
Sr1 0.5000 0.5000 0.5000
Pm1 0.3726 0.1274 0.1274
Pm2 0.6274 0.8726 0.8726
Ga1 0.1836 0.5134 0.1193
Ga2 0.8164 0.4866 0.8807
Ga3 0.8164 0.8807 0.4866
Ga4 0.0000 0.1770 0.8230
Ga5 0.0000 0.8230 0.1770
Ga6 0.1836 0.1193 0.5134
```

***

Last place for stability: <ii>

***

<i>
SrPmGa3: relaxed, PBE.

Structure (CIF):
```
data_SrPmGa3
_space_group_name_H-M_alt 'P 1'
_space_group_IT_number 1
_cell_length_a 4.2713
_cell_length_b 4.6253
_cell_length_c 13.3686
_cell_angle_alpha 99.96
_cell_angle_beta 90.00
_cell_angle_gamma 90.00
loop_
_space_group_symop_operation_xyz
'x,y,z'
loop_
_atom_site_label
_atom_site_fract_x
_atom_site_fract_y
_atom_site_fract_z
Sr1 0.2500 0.0733 0.1467
Sr2 0.7500 0.9267 0.8533
Pm1 0.2500 0.7970 0.5940
Pm2 0.7500 0.2030 0.4060
Ga1 0.2500 0.3788 0.7576
Ga2 0.7500 0.6212 0.2424
Ga3 0.2500 0.4751 0.9501
Ga4 0.7500 0.5249 0.0499
Ga5 0.7500 0.3224 0.6448
Ga6 0.2500 0.6776 0.3552
```

***

<ii>
SrPmGa3: relaxed, PBE.

Structure (CIF):
```
data_SrPmGa3
_space_group_name_H-M_alt 'P 1'
_space_group_IT_number 1
_cell_length_a 4.3144
_cell_length_b 4.3283
_cell_length_c 13.9639
_cell_angle_alpha 98.92
_cell_angle_beta 90.00
_cell_angle_gamma 90.00
loop_
_space_group_symop_operation_xyz
'x,y,z'
loop_
_atom_site_label
_atom_site_fract_x
_atom_site_fract_y
_atom_site_fract_z
Sr1 0.2500 0.7995 0.5990
Sr2 0.7500 0.2005 0.4009
Pm1 0.2500 0.0660 0.1320
Pm2 0.7500 0.9340 0.8680
Ga1 0.2500 0.3884 0.7767
Ga2 0.7500 0.6116 0.2233
Ga3 0.2500 0.4775 0.9551
Ga4 0.7500 0.5225 0.0449
Ga5 0.7500 0.3393 0.6785
Ga6 0.2500 0.6607 0.3215
```

***

Last place for stability: <i>